Record 1
This record from Alexandria via LeMat-Bulk describes a relaxed structure of YAl2Ir. The functional is GGA-PBE.

The structure in extended XYZ format:
```
4
Lattice="-1.067 1.540 2.557 -2.968 -1.428 -0.378 2.037 -5.305 4.045" Properties=species:S:1:pos:R:3 pbc="T T T"
Al -1.457 -1.403 2.202
Al 0.098 -0.255 0.195
Ir 0.906 -2.359 1.799
Y -0.526 -3.828 4.051
```

The calculation puts the electronic total energy at -25.128 eV for the cell shown. For the formation energy from the elements, the calculation gives -0.579 eV/atom. As for the calculated volume: 73.28 Å³ per cell.

***

Record 2
This record from Alexandria via LeMat-Bulk describes a relaxed structure of LaFeP2. The functional is GGA-PBE.

The structure in extended XYZ format:
```
4
Lattice="-1.899 4.077 -0.458 -3.735 -1.506 2.075 1.434 1.043 3.339" Properties=species:S:1:pos:R:3 pbc="T T T"
La -1.150 -0.232 2.707
Fe -0.232 2.560 1.440
P -2.817 1.285 0.808
P 0.000 0.000 0.000
```

The calculation puts the electronic total energy at -25.026 eV for the cell shown. For the formation energy from the elements, the calculation gives -0.204 eV/atom. As for the calculated volume: 77.42 Å³ per cell. The energy above the lowest structure with this stoichiometry comes out at 665 meV per atom.

***

Record 3
This record from Alexandria via LeMat-Bulk describes a relaxed structure of SrLiMnBr6. The functional is GGA-PBE.

The structure in extended XYZ format:
```
9
Lattice="-4.778 4.061 -2.079 -2.260 -4.856 -4.292 -2.478 0.356 6.391" Properties=species:S:1:pos:R:3 pbc="T T T"
Mn -2.389 2.031 -1.040
Br -2.973 -2.308 -3.446
Br -6.753 -0.245 -0.183
Br -5.208 -3.376 -0.397
Li -4.722 -1.088 -1.770
Br -6.395 -1.686 -3.819
Sr -2.405 -1.381 2.830
Br -4.245 1.410 -2.713
Br -2.758 -0.323 -0.063
```

The calculation puts the electronic total energy at -34.323 eV for the cell shown. As for the calculated volume: 269.53 Å³ per cell. The formation energy (no corrections) comes out at -1.280 eV per atom.

***

Record 4
This record from Alexandria via LeMat-Bulk describes a relaxed structure of SrCa2PPb. The functional is GGA-PBE.

The structure in extended XYZ format:
```
5
Lattice="-0.132 4.751 2.670 1.085 -2.595 4.670 5.714 0.690 -0.944" Properties=species:S:1:pos:R:3 pbc="T T T"
Ca 0.542 -1.297 2.335
Sr 2.857 0.345 -0.472
Ca -0.066 2.375 1.335
P 0.000 0.000 0.000
Pb 3.333 1.423 3.198
```

The calculation puts the electronic total energy at -18.414 eV for the cell shown. For the formation energy from the elements, the calculation gives -0.722 eV/atom. As for the calculated volume: 173.31 Å³ per cell.

***

Record 5
This record from Alexandria via LeMat-Bulk describes a relaxed structure of Cr2CuTe. The functional is GGA-PBE.

The structure in extended XYZ format:
```
8
Lattice="-1.555 -0.102 3.339 -2.943 -1.701 -1.422 1.717 -9.098 2.556" Properties=species:S:1:pos:R:3 pbc="T T T"
Cr -0.809 -2.544 2.331
Cr -1.705 -3.357 0.385
Cu -1.737 -5.850 1.046
Cr -2.456 -8.290 3.687
Te -1.043 -5.050 3.427
Te 0.000 0.000 0.000
Cu -2.249 -0.901 0.959
Cr -0.590 -7.610 2.543
```

The calculation puts the electronic total energy at -47.674 eV for the cell shown. As for the calculated volume: 125.50 Å³ per cell. The formation energy (no corrections) comes out at 0.662 eV per atom.

***

Record 6
This record from Alexandria via LeMat-Bulk describes a relaxed structure of K2MgCoN. The functional is GGA-PBE.

The structure in extended XYZ format:
```
5
Lattice="5.952 0.000 0.000 0.000 4.884 0.000 0.000 0.000 5.952" Properties=species:S:1:pos:R:3 pbc="T T T"
N 2.976 2.442 2.976
K 2.976 0.000 0.000
Mg 0.000 2.442 0.000
Co 0.000 0.000 0.000
K 0.000 0.000 2.976
```

The calculation puts the electronic total energy at -11.705 eV for the cell shown. As for the calculated volume: 173.04 Å³ per cell. The formation energy (no corrections) comes out at 1.503 eV per atom.